Computed, not measured: LiGa3Hg after structural relaxation at the GGA-PBE level of DFT.

a = 4.749 Å, b = 4.749 Å, c = 4.749 Å
α = 90.00°, β = 90.00°, γ = 90.00°
Positions (direct):
Hg 0.500 0.500 0.500
Ga 0.000 0.500 0.000
Ga 0.000 0.000 0.500
Ga 0.500 0.000 0.000
Li 0.000 0.000 0.000

Properties
Space group: Pm-3m
Magnetic moment, μB per formula unit: 0.000
N(E_F), states/eV/f.u.: 2.1
Excess energy over the best structure of this formula in the dataset, eV/f.u.: 1.55
Crystal system: cubic
Energy of formation from the pure elements, kJ per mole of atoms: 20